4
Lattice="11.2057 0.0496 0.0290 10.8197 2.9162 0.0290 10.8197 1.4569 2.5263" Properties=species:S:1:pos:R:3 comment="LiAuSe2 (PBE, optimized geometry)" raw_formation_energy_mev_per_atom=-122 volume_a3_per_cell=80 spacegroup=R3m dft_energy_ry_per_atom=-0.2324 dos_ef_per_ev_fu=1.339 pbc="T T T"
Au 15.9323 2.1453 1.2536
Li 24.7276 3.3296 1.9456
Se 0.8701 0.1172 0.0685
Se 7.7374 1.0419 0.6088